Record 1
DFT (PBE) results for an optimized crystal structure of BaSb2TeP.

Summary:
Mass density   3.24 g/cm³
Energy   -12.47 eV/cell
Offset from the most stable computed form   1451 meV/atom
Formation energy without anion corrections   1.249 eV/atom

Cell: 6.5640 6.5640 6.4252 Å, 90.00 90.00 90.00°
Last column: magnetic moment on the atom in μB.
Positions (direct):
Sb 0.5000 0.0000 0.0000  -0.30
Sb 0.0000 0.5000 0.0000  -0.30
Te 0.0000 0.0000 0.5000  0.22
Ba 0.0000 0.0000 0.0000  0.00
P 0.5000 0.5000 0.5000  1.10


Record 2
DFT (PBE) results for an optimized crystal structure of Se2SN.

Summary:
Mass density   5.60 g/cm³
Energy   -12.97 eV/cell
Offset from the most stable computed form   804 meV/atom
Formation energy without anion corrections   1.613 eV/atom

Cell: 4.4074 4.4074 4.4074 Å, 60.00 60.00 60.00°
Positions (direct):
Se 0.2500 0.2500 0.2500
Se 0.7500 0.7500 0.7500
N 0.0000 0.0000 0.0000
S 0.5000 0.5000 0.5000


Record 3
DFT (PBE) results for an optimized crystal structure of Na2CdGe3Pd4.

Summary:
Mass density   6.77 g/cm³
Energy   -41.80 eV/cell
Formation energy   -3.6 eV per formula unit

Cell: 4.2727 4.2727 10.7802 Å, 90.00 90.00 90.00°
Positions (direct):
Na 0.0000 0.5000 0.7565
Na 0.5000 0.0000 0.2435
Ge 0.5000 0.0000 0.8768
Ge 0.0000 0.0000 0.5000
Ge 0.0000 0.5000 0.1232
Pd 0.0000 0.0000 0.0000
Pd 0.5000 0.0000 0.6512
Pd 0.0000 0.5000 0.3488
Pd 0.5000 0.5000 0.0000
Cd 0.5000 0.5000 0.5000


Record 4
DFT (PBE) results for an optimized crystal structure of NbGeTe.

Summary:
Mass density   7.05 g/cm³
Energy   -18.25 eV/cell
Formation energy without anion corrections   -0.141 eV/atom

Cell: 3.5778 3.8759 5.2942 Å, 90.02 109.78 90.00°
Positions (direct):
Te 0.8405 0.8702 0.7894
Ge 0.5845 0.3705 0.2769
Nb 0.1250 0.8705 0.3582


Record 5
DFT (PBE) results for an optimized crystal structure of AcDyCo2.

Summary:
Mass density   9.84 g/cm³
Energy   -22.61 eV/cell
Formation energy   0.3 eV per formula unit

Cell: 3.5036 3.5036 6.9776 Å, 90.00 90.00 90.00°
Last column: magnetic moment on the atom in μB.
Positions (direct):
Dy 0.5000 0.5000 0.0000  -0.25
Co 0.0000 0.0000 0.2220  0.78
Co 0.0000 0.0000 0.7780  0.78
Ac 0.5000 0.5000 0.5000  -0.11


Record 6
DFT (PBE) results for an optimized crystal structure of Ta2TcHg.

Summary:
Mass density   15.55 g/cm³
Energy   -33.26 eV/cell
Formation energy   1.1 eV per formula unit

Cell: 5.1839 5.1839 5.1839 Å, 134.16 134.16 66.84°
Positions (direct):
Ta 0.0000 0.0000 0.0000
Ta 0.2500 0.7500 0.5000
Tc 0.5000 0.5000 0.0000
Hg 0.7500 0.2500 0.5000


- Look up the mass density of the first one.
  3.24 g/cm³